Arrangement A

DFT (PBE) results for VOsPt after structural relaxation.

a b c (Å): 11.514 3.877 3.864
angles (deg): 90.00 90.00 90.00
Atoms (fractional coordinates):
Os 0.500 0.000 0.500
Os 0.000 0.500 0.500
Os 0.000 0.000 0.000
Os 0.500 0.500 0.000
Pt 0.668 0.000 0.000
Pt 0.332 0.000 0.000
Pt 0.168 0.500 0.000
Pt 0.832 0.500 0.000
V 0.845 0.000 0.500
V 0.155 0.000 0.500
V 0.345 0.500 0.500
V 0.655 0.500 0.500

Output
Symmetry: Cmmm, No. 65
V (Å³/f.u.): 43

***

Arrangement B

DFT (PBE) results for VOsPt after structural relaxation.

a b c (Å): 5.285 8.285 4.748
angles (deg): 90.00 123.72 90.00
Atoms (fractional coordinates):
Os 0.750 0.928 0.750
Os 0.250 0.072 0.250
Os 0.750 0.428 0.250
Os 0.250 0.572 0.750
Pt 0.750 0.256 0.750
Pt 0.250 0.744 0.250
Pt 0.750 0.756 0.250
Pt 0.250 0.244 0.750
V 0.750 0.589 0.750
V 0.250 0.411 0.250
V 0.750 0.089 0.250
V 0.250 0.911 0.750

Output
Symmetry: C2/c, No. 15
V (Å³/f.u.): 43

***

Energies, relative to the best one, in meV per atom: arrangement A 0; arrangement B 129.